DFT (meta-GGA SCAN) results for Li5MnO3F at its PBEsol-relaxed geometry.

Cell and atoms, written as extended XYZ:
```
20
Lattice="4.638 0.000 0.000 0.000 6.570 0.000 -0.134 0.000 6.512" Properties=species:S:1:pos:R:3 pbc="T T T"
Li 0.903 0.000 1.643
Li 0.965 4.598 3.091
Li 1.091 1.843 0.324
Li 1.255 4.627 0.156
Li 1.237 3.020 4.843
Li 3.267 6.305 1.669
Li 3.249 1.341 6.356
Li 3.413 5.128 6.189
Li 3.539 1.313 3.422
Li 3.601 3.285 4.870
Mn 0.864 6.527 4.954
Mn 3.640 3.242 1.558
O -0.064 1.650 5.012
O 0.216 4.686 4.895
O 2.145 6.467 0.107
O 2.359 3.182 6.405
O 4.288 1.401 1.618
O 4.568 4.935 1.500
F 2.106 6.406 3.138
F 2.398 3.121 3.374
```

The value obtained for the energy relative to the lowest polymorph listed for this composition is 62 meV/atom. As for the crystal system: monoclinic. As for the total magnetization: 5.00 μB per formula unit. The uncorrected formation energy comes out at -2.162 eV/atom.



DFT (meta-GGA SCAN) results for CrCu2Rh at its PBEsol-relaxed geometry.

Cell and atoms, written as extended XYZ:
```
4
Lattice="-1.768 1.768 3.915 1.768 -1.768 3.915 1.768 1.768 -3.915" Properties=species:S:1:pos:R:3 pbc="T T T"
Cr 0.000 0.000 0.000
Cu 1.768 0.000 1.958
Cu 0.000 1.768 1.958
Rh 0.000 0.000 3.915
```

As for the crystal system: tetragonal. For the calculated formation energy, the calculation gives 31 meV/atom. As for the total magnetization: 2.75 μB per formula unit.



DFT (meta-GGA SCAN) results for TiIn3Si at its PBEsol-relaxed geometry.

Cell and atoms, written as extended XYZ:
```
5
Lattice="5.201 0.000 0.000 0.000 5.201 0.000 0.000 0.000 5.201" Properties=species:S:1:pos:R:3 pbc="T T T"
Ti 0.000 0.000 0.000
In 0.000 0.000 2.601
In 0.000 2.601 0.000
In 2.601 0.000 0.000
Si 2.601 2.601 2.601
```

As for the crystal system: cubic. As for the total magnetization: 0.37 μB per formula unit. The uncorrected formation energy comes out at 0.887 eV/atom.



DFT (meta-GGA SCAN) results for NaCa3Pt at its PBEsol-relaxed geometry.

Cell and atoms, written as extended XYZ:
```
5
Lattice="5.584 0.000 0.000 0.000 5.584 0.000 0.000 0.000 5.584" Properties=species:S:1:pos:R:3 pbc="T T T"
Na 0.000 0.000 0.000
Ca 0.000 2.792 2.792
Ca 2.792 0.000 2.792
Ca 2.792 2.792 0.000
Pt 2.792 2.792 2.792
```

The value obtained for the energy relative to the lowest polymorph listed for this composition is 0 meV/atom. As for the crystal system: cubic. For the calculated formation energy, the calculation gives -544 meV/atom. As for the total magnetization: 0.00 μB per formula unit.



DFT (meta-GGA SCAN) results for PtC2 at its PBEsol-relaxed geometry.

Cell and atoms, written as extended XYZ:
```
9
Lattice="5.795 0.000 0.000 -2.897 5.018 0.000 0.000 0.000 3.038" Properties=species:S:1:pos:R:3 pbc="T T T"
Pt 0.000 0.000 0.000
Pt 0.000 3.346 1.519
Pt 2.897 1.673 1.519
C -1.125 1.949 0.000
C -2.132 3.692 1.519
C 0.766 1.326 1.519
C 2.250 0.000 0.000
C 1.772 3.070 0.000
C 4.263 0.000 1.519
```

The value obtained for the energy relative to the lowest polymorph listed for this composition is 1490 meV/atom. As for the crystal system: hexagonal. For the calculated formation energy, the calculation gives 2461 meV/atom. As for the total magnetization: 0.00 μB per formula unit.



DFT (meta-GGA SCAN) results for BeBN2 at its PBEsol-relaxed geometry.

Cell and atoms, written as extended XYZ:
```
4
Lattice="0.000 2.339 2.339 2.339 0.000 2.339 2.339 2.339 0.000" Properties=species:S:1:pos:R:3 pbc="T T T"
Be 0.000 0.000 0.000
B 2.339 2.339 2.339
N 1.170 1.170 1.170
N 3.509 3.509 3.509
```

The value obtained for the energy relative to the lowest polymorph listed for this composition is 1341 meV/atom. As for the crystal system: cubic. As for the total magnetization: 0.00 μB per formula unit. The uncorrected formation energy comes out at 1.695 eV/atom.



DFT (meta-GGA SCAN) results for MnBe2Te at its PBEsol-relaxed geometry.

Cell and atoms, written as extended XYZ:
```
4
Lattice="2.868 0.000 0.000 0.000 3.419 0.000 -0.136 0.000 5.874" Properties=species:S:1:pos:R:3 pbc="T T T"
Mn 0.000 0.000 0.000
Be 1.306 1.710 4.859
Be 1.425 1.710 1.016
Te 1.366 0.000 2.937
```

As for the crystal system: monoclinic. As for the total magnetization: 3.13 μB per formula unit. The uncorrected formation energy comes out at 0.282 eV/atom.



DFT (meta-GGA SCAN) results for SrMg2Mo at its PBEsol-relaxed geometry.

Cell and atoms, written as extended XYZ:
```
4
Lattice="1.552 0.896 10.703 -1.552 0.896 10.703 0.000 -1.792 10.703" Properties=species:S:1:pos:R:3 pbc="T T T"
Sr 0.000 0.000 0.000
Mg 0.000 0.000 16.506
Mg 0.000 0.000 24.547
Mo 0.000 0.000 8.078
```

The value obtained for the energy relative to the lowest polymorph listed for this composition is 0 meV/atom. As for the crystal system: trigonal. For the calculated formation energy, the calculation gives 710 meV/atom. As for the total magnetization: 0.00 μB per formula unit.



DFT (meta-GGA SCAN) results for GaCuPt2 at its PBEsol-relaxed geometry.

Cell and atoms, written as extended XYZ:
```
4
Lattice="3.940 0.000 0.000 0.000 3.940 0.000 0.000 0.000 3.550" Properties=species:S:1:pos:R:3 pbc="T T T"
Ga 0.000 0.000 0.000
Cu 1.970 1.970 0.000
Pt 0.000 1.970 1.775
Pt 1.970 0.000 1.775
```

As for the crystal system: tetragonal. For the calculated formation energy, the calculation gives -525 meV/atom. As for the total magnetization: 0.00 μB per formula unit.



DFT (meta-GGA SCAN) results for CuTc2Ni at its PBEsol-relaxed geometry.

Cell and atoms, written as extended XYZ:
```
4
Lattice="3.124 0.000 0.000 0.000 3.124 0.000 0.000 0.000 5.099" Properties=species:S:1:pos:R:3 pbc="T T T"
Cu 0.000 0.000 0.000
Tc 1.562 1.562 1.313
Tc 1.562 1.562 3.787
Ni 0.000 0.000 2.550
```

The value obtained for the energy relative to the lowest polymorph listed for this composition is 193 meV/atom. As for the crystal system: tetragonal. For the calculated formation energy, the calculation gives 292 meV/atom. As for the total magnetization: 0.00 μB per formula unit.



DFT (meta-GGA SCAN) results for MnHgAu2 at its PBEsol-relaxed geometry.

Cell and atoms, written as extended XYZ:
```
4
Lattice="0.000 3.251 3.251 3.251 0.000 3.251 3.251 3.251 0.000" Properties=species:S:1:pos:R:3 pbc="T T T"
Mn 0.000 0.000 0.000
Hg 3.251 3.251 3.251
Au 1.625 1.625 1.625
Au 4.876 4.876 4.876
```

As for the crystal system: cubic. For the calculated formation energy, the calculation gives -170 meV/atom. As for the total magnetization: 4.36 μB per formula unit.



DFT (meta-GGA SCAN) results for KZrTeN2 at its PBEsol-relaxed geometry.

Cell and atoms, written as extended XYZ:
```
5
Lattice="4.408 0.000 0.000 0.000 4.408 0.000 0.000 0.000 5.665" Properties=species:S:1:pos:R:3 pbc="T T T"
K 0.000 0.000 0.000
Zr 2.204 2.204 2.833
Te 2.204 2.204 0.000
N 0.000 2.204 2.833
N 2.204 0.000 2.833
```

As for the crystal system: tetragonal. As for the total magnetization: 3.00 μB per formula unit. The uncorrected formation energy comes out at -0.086 eV/atom.



DFT (meta-GGA SCAN) results for BeTlNi2 at its PBEsol-relaxed geometry.

Cell and atoms, written as extended XYZ:
```
4
Lattice="2.953 0.000 0.000 0.000 2.953 0.000 0.000 0.000 5.922" Properties=species:S:1:pos:R:3 pbc="T T T"
Be 0.000 0.000 0.000
Tl 1.476 1.476 3.878
Ni 0.000 0.000 2.167
Ni 1.476 1.476 0.735
```

As for the crystal system: tetragonal. For the calculated formation energy, the calculation gives 209 meV/atom. As for the total magnetization: 0.00 μB per formula unit.



DFT (meta-GGA SCAN) results for ZrTl2Br at its PBEsol-relaxed geometry.

Cell and atoms, written as extended XYZ:
```
4
Lattice="3.445 0.000 0.000 0.000 3.445 0.000 0.000 0.000 8.252" Properties=species:S:1:pos:R:3 pbc="T T T"
Zr 0.000 0.000 0.000
Tl 1.722 1.722 1.913
Tl 1.722 1.722 6.339
Br 0.000 0.000 4.126
```

The value obtained for the energy relative to the lowest polymorph listed for this composition is 417 meV/atom. As for the crystal system: tetragonal. As for the total magnetization: 0.00 μB per formula unit. The uncorrected formation energy comes out at -0.008 eV/atom.



Number 1: raw total energy -7.405 eV/atom, density of states at the Fermi level 0.000 states/eV/cell. Number 2: raw total energy -20.608 eV/atom, density of states at the Fermi level 3.989 states/eV/cell. Number 3: raw total energy -24.354 eV/atom, density of states at the Fermi level 4.638 states/eV/cell. Number 4: raw total energy -21.224 eV/atom, density of states at the Fermi level 2.071 states/eV/cell. Number 5: raw total energy -27.670 eV/atom, density of states at the Fermi level 4.426 states/eV/cell. Number 6: raw total energy -5.897 eV/atom, density of states at the Fermi level 1.354 states/eV/cell. Number 7: raw total energy -15.771 eV/atom, density of states at the Fermi level 1.611 states/eV/cell. Number 8: raw total energy -16.067 eV/atom, density of states at the Fermi level 1.967 states/eV/cell. Number 9: raw total energy -43.508 eV/atom, density of states at the Fermi level 0.663 states/eV/cell. Number 10: raw total energy -25.081 eV/atom, density of states at the Fermi level 3.114 states/eV/cell. Number 11: raw total energy -56.353 eV/atom, density of states at the Fermi level 1.526 states/eV/cell. Number 12: raw total energy -19.058 eV/atom, density of states at the Fermi level 1.226 states/eV/cell. Number 13: raw total energy -27.055 eV/atom, density of states at the Fermi level 2.468 states/eV/cell. Number 14: raw total energy -48.727 eV/atom, density of states at the Fermi level 2.164 states/eV/cell.